CsRb12Cd5, optimized geometry, DFT PBE-GGA; DFT total energy = -0.95 eV/atom; space group = Immm; DFT formation energy = -3 meV/atom
1.0
-6.355 6.419 7.181
6.355 -6.419 7.181
6.355 6.419 -7.181
Cs Rb Cd
1 12 5
direct
0.000 0.000 0.000 Cs
0.086 0.285 0.801 Rb
0.187 0.500 0.313 Rb
0.187 0.874 0.687 Rb
0.322 0.227 0.549 Rb
0.322 0.773 0.095 Rb
0.484 0.285 0.199 Rb
0.516 0.715 0.801 Rb
0.678 0.227 0.905 Rb
0.678 0.773 0.451 Rb
0.813 0.126 0.313 Rb
0.813 0.500 0.687 Rb
0.914 0.715 0.199 Rb
0.117 0.500 0.617 Cd
0.397 0.897 0.500 Cd
0.500 0.500 0.000 Cd
0.603 0.103 0.500 Cd
0.883 0.500 0.383 Cd